## Na5Ge2As5 (GGA-PBE)

Data for an optimized crystal structure of Na5Ge2As5.

Cell lengths 7.524, 7.524, 11.778 Å; angles 107.63, 107.63, 27.60 degrees
Atoms (fractional coordinates):
Na  0.000  0.000  0.000
Na  0.170  0.170  0.565
Na  0.276  0.276  0.867
Na  0.724  0.724  0.133
Na  0.830  0.830  0.435
Ge  0.466  0.466  0.705
Ge  0.534  0.534  0.295
As  0.147  0.147  0.295
As  0.387  0.387  0.125
As  0.500  0.500  0.500
As  0.613  0.613  0.875
As  0.853  0.853  0.705

Output
**Magnetization**: 0.0 μB per formula unit
**Space group**: C2/m, No. 12
**Formation energy from the elements**: -270.5 kJ/mol of formula units

=====

## GaBi4Pb7 (GGA-PBE)

Data for an optimized crystal structure of GaBi4Pb7.

Cell lengths 8.668, 8.668, 11.497 Å; angles 125.79, 125.79, 38.44 degrees
Atoms (fractional coordinates):
Ga  0.000  0.000  0.000
Bi  0.274  0.274  0.666
Bi  0.432  0.432  0.225
Bi  0.568  0.568  0.775
Bi  0.726  0.726  0.334
Pb  0.076  0.076  0.310
Pb  0.202  0.202  0.871
Pb  0.351  0.351  0.422
Pb  0.500  0.500  0.000
Pb  0.649  0.649  0.578
Pb  0.798  0.798  0.129
Pb  0.924  0.924  0.690

Output
**Magnetization**: 0.0 μB per formula unit
**Space group**: C2/m, No. 12
**Formation energy from the elements**: 113.7 kJ/mol of formula units

=====

## Nb2HgAs (GGA-PBE)

Data for an optimized crystal structure of Nb2HgAs.

Cell lengths 4.681, 4.681, 4.681 Å; angles 60.00, 60.00, 60.00 degrees
Atoms (fractional coordinates):
Nb  0.250  0.250  0.250
Nb  0.750  0.750  0.750
Hg  0.000  0.000  0.000
As  0.500  0.500  0.500

Output
**Magnetization**: 0.0 μB per formula unit
**Space group**: Fm-3m, No. 225
**Energy above the lowest structure with this stoichiometry**: 0.0 meV per atom
**Formation energy from the elements**: 54.8 kJ/mol of formula units

=====

## Ce2CuRh (GGA-PBE)

Data for an optimized crystal structure of Ce2CuRh.

Cell lengths 3.530, 3.530, 6.930 Å; angles 90.00, 90.00, 90.00 degrees
Atoms (fractional coordinates):
Ce  0.000  0.000  0.241
Ce  0.000  0.000  0.759
Cu  0.500  0.500  0.500
Rh  0.500  0.500  0.000

Output
**Magnetization**: 1.2 μB per formula unit
**Space group**: P4/mmm, No. 123
**Formation energy from the elements**: -137.2 kJ/mol of formula units

=====

## HfNF (GGA-PBE)

Data for an optimized crystal structure of HfNF.

Cell lengths 3.326, 4.152, 6.164 Å; angles 90.00, 90.00, 90.00 degrees
Atoms (fractional coordinates):
Hf  0.250  0.250  0.147
Hf  0.750  0.750  0.853
N  0.250  0.750  0.070
N  0.750  0.250  0.930
F  0.250  0.750  0.625
F  0.750  0.250  0.375

Output
**Energy relative to the elements, uncorrected**: -2.564 eV per atom
**Magnetization**: 0.0 μB per formula unit
**Space group**: Pmmn, No. 59

=====

## NaCoTe2I (GGA-PBE)

Data for an optimized crystal structure of NaCoTe2I.

Cell lengths 4.944, 4.944, 6.628 Å; angles 90.00, 90.00, 90.00 degrees
Atoms (fractional coordinates):
Na  0.000  0.000  0.000
Co  0.500  0.500  0.500
Te  0.000  0.500  0.500
Te  0.500  0.000  0.500
I  0.500  0.500  0.000

Output
**Energy relative to the elements, uncorrected**: -0.091 eV per atom
**Magnetization**: 2.4 μB per formula unit
**Space group**: P4/mmm, No. 123
**Energy above the lowest structure with this stoichiometry**: 0.0 meV per atom

=====

## Li3Pu3AuS8 (GGA-PBE)

Data for an optimized crystal structure of Li3Pu3AuS8.

Cell lengths 7.460, 7.674, 7.674 Å; angles 119.76, 90.15, 117.13 degrees
Atoms (fractional coordinates):
Li  0.000  0.000  0.000
Li  0.000  0.000  0.500
Li  0.500  0.500  0.000
Pu  0.000  0.500  0.500
Pu  0.500  0.000  0.000
Pu  0.500  0.000  0.500
Au  0.000  0.500  0.000
S  0.231  0.986  0.745
S  0.240  0.511  0.226
S  0.240  0.512  0.784
S  0.295  0.078  0.289
S  0.705  0.922  0.711
S  0.760  0.488  0.216
S  0.760  0.489  0.774
S  0.769  0.014  0.255

Output
**Energy relative to the elements, uncorrected**: -1.177 eV per atom
**Magnetization**: 4.8 μB per formula unit
**Space group**: P-1, No. 2

=====

## GdErGeRh (GGA-PBE)

Data for an optimized crystal structure of GdErGeRh.

Cell lengths 4.956, 4.956, 4.956 Å; angles 60.00, 60.00, 60.00 degrees
Atoms (fractional coordinates):
Gd  0.000  0.000  0.000
Er  0.500  0.500  0.500
Ge  0.750  0.750  0.750
Rh  0.250  0.250  0.250

Output
**Magnetization**: 7.0 μB per formula unit
**Space group**: F-43m, No. 216
**Formation energy from the elements**: -280.7 kJ/mol of formula units